Entry from the Alexandria database: MnTe2I after structural relaxation (GGA-PBE).

Results
Total magnetization in μB per formula unit: 0.000
E_form (uncorrected) in meV per atom: 237
Fermi-level density of states in states/eV/f.u.: 2.43

Cell: 7.076 7.076 10.777 Å, 90.00 90.00 90.00°
Space group I-42d (No. 122)
One atom of each set of equivalent atoms:
Mn  0.000  0.000  0.000 x4
Te  0.127  0.250  0.125 x8
I  0.000  0.000  0.500 x4

Entry from the Alexandria database: Ce2Zn7 after structural relaxation (GGA-PBE).

Results
Total magnetization in μB per formula unit: 1.290
Fermi-level density of states in states/eV/f.u.: 12.40
Formation enthalpy at 0 K in eV per atom: -0.249

Cell: 5.4167 5.4167 39.1306 Å, 90.00 90.00 120.00°
Space group R-3m (No. 166, hexagonal axes)
One atom of each set of equivalent atoms:
Ce  0.0000  0.0000  0.0526 x6
Ce  0.0000  0.0000  0.1535 x6
Zn  0.0000  0.0000  0.2794 x6
Zn  0.0000  0.0000  0.3887 x6
Zn  0.0000  0.0000  0.5000 x3
Zn  0.0000  0.5000  0.0000 x9
Zn  0.0032  0.5016  0.8908 x18

Entry from the Alexandria database: KSc2GeIr after structural relaxation (GGA-PBE).

Results
Total magnetization in μB per formula unit: 0.000
Fermi-level density of states in states/eV/f.u.: 6.74
Formation enthalpy at 0 K in eV per atom: 0.288

Cell: 5.015 5.015 5.776 Å, 90.00 90.00 90.00°
Space group P4/mmm (No. 123)
One atom of each set of equivalent atoms:
K  0.000  0.000  0.000 x1
Sc  0.000  0.500  0.500 x2
Ge  0.500  0.500  0.000 x1
Ir  0.000  0.000  0.500 x1

Entry from the Alexandria database: PrPd3Pt2 after structural relaxation (GGA-PBE).

Results
Total magnetization in μB per formula unit: 0.000
Fermi-level density of states in states/eV/f.u.: 4.67
Formation enthalpy at 0 K in eV per atom: -0.590

Cell: 5.4194 5.4194 4.4421 Å, 90.00 90.00 120.00°
Space group P6/mmm (No. 191)
One atom of each set of equivalent atoms:
Pr  0.0000  0.0000  0.0000 x1
Pd  0.0000  0.5000  0.5000 x3
Pt  0.3333  0.6667  0.0000 x2

Entry from the Alexandria database: K2BaThS4 after structural relaxation (GGA-PBE).

Results
Total magnetization in μB per formula unit: 0.000
E_form (uncorrected) in meV per atom: -1785
Fermi-level density of states in states/eV/f.u.: 0.00

Cell: 7.724 4.355 7.803 Å, 90.00 109.01 90.00°
Space group P2/m (No. 10)
One atom of each set of equivalent atoms:
K  0.000  0.000  0.000 x1
K  0.500  0.500  0.000 x1
Ba  0.000  0.500  0.500 x1
Th  0.500  0.000  0.500 x1
S  0.275  0.000  0.712 x2
S  0.290  0.500  0.293 x2

Entry from the Alexandria database: Dy2InGa after structural relaxation (GGA-PBE).

Results
Total magnetization in μB per formula unit: 0.000
Fermi-level density of states in states/eV/f.u.: 2.96
Formation enthalpy at 0 K in eV per atom: -0.380

Cell: 3.6737 3.6737 27.5080 Å, 90.00 90.00 120.00°
Space group R-3m (No. 166, hexagonal axes)
One atom of each set of equivalent atoms:
Dy  0.0000  0.0000  0.2440 x6
In  0.0000  0.0000  0.0000 x3
Ga  0.0000  0.0000  0.5000 x3

Entry from the Alexandria database: RbTm2CuS4 after structural relaxation (GGA-PBE).

Results
Total magnetization in μB per formula unit: 0.000
E_form (uncorrected) in meV per atom: -1641

Cell: 3.940 13.641 13.685 Å, 90.00 90.00 90.00°
Space group Cmcm (No. 63)
One atom of each set of equivalent atoms:
Rb  0.000  0.108  0.250 x4
Tm  0.000  0.366  0.063 x8
Cu  0.000  0.166  0.750 x4
S  0.000  0.000  0.000 x4
S  0.000  0.259  0.607 x8
S  0.000  0.425  0.250 x4

Entry from the Alexandria database: Sr2H6IrPb after structural relaxation (GGA-PBE).

Results
Total magnetization in μB per formula unit: 0.000
Fermi-level density of states in states/eV/f.u.: 2.78
Electronic total energy in eV per atom: -4.06

Cell: 5.0776 5.0776 6.9122 Å, 90.00 90.00 120.00°
Space group P-3m1 (No. 164)
One atom of each set of equivalent atoms:
Sr  0.3333  0.6667  0.2162 x2
H  0.1607  0.3214  0.8667 x6
Ir  0.0000  0.0000  0.0000 x1
Pb  0.0000  0.0000  0.5000 x1

Entry from the Alexandria database: BeAlSb2 after structural relaxation (GGA-PBE).

Results
Total magnetization in μB per formula unit: 0.000
E_form (uncorrected) in meV per atom: 263
Fermi-level density of states in states/eV/f.u.: 1.90

Cell: 3.604 3.604 7.348 Å, 90.00 90.00 90.00°
Space group P4mm (No. 99)
One atom of each set of equivalent atoms:
Be  0.000  0.000  0.000 x1
Al  0.500  0.500  0.812 x1
Sb  0.000  0.000  0.650 x1
Sb  0.500  0.500  0.173 x1

Entry from the Alexandria database: BePPtCl2 after structural relaxation (GGA-PBE).

Results
Total magnetization in μB per formula unit: 0.000
E_form (uncorrected) in meV per atom: 247
Fermi-level density of states in states/eV/f.u.: 1.89

Cell: 3.900 3.900 8.357 Å, 90.00 90.00 90.00°
Space group P4/mmm (No. 123)
One atom of each set of equivalent atoms:
Be  0.000  0.000  0.000 x1
P  0.000  0.000  0.500 x1
Pt  0.500  0.500  0.500 x1
Cl  0.000  0.500  0.000 x2

Entry from the Alexandria database: Er2Tl3SnS6 after structural relaxation (GGA-PBE).

Results
Total magnetization in μB per formula unit: 0.000
E_form (uncorrected) in meV per atom: -1102
Fermi-level density of states in states/eV/f.u.: 3.80

Cell: 6.937 12.028 7.823 Å, 90.00 107.09 90.00°
Space group C2/m (No. 12)
One atom of each set of equivalent atoms:
Er  0.000  0.167  0.000 x4
Tl  0.000  0.000  0.500 x2
Tl  0.000  0.331  0.500 x4
Sn  0.000  0.500  0.000 x2
S  0.232  0.000  0.198 x4
S  0.232  0.333  0.196 x8

Entry from the Alexandria database: Tb3Nd12Er after structural relaxation (GGA-PBE).

Results
Total magnetization in μB per formula unit: 0.000
Fermi-level density of states in states/eV/f.u.: 24.41
Formation enthalpy at 0 K in eV per atom: 0.013

Cell: 5.161 5.161 20.576 Å, 90.00 90.00 90.00°
Space group P4/mmm (No. 123)
One atom of each set of equivalent atoms:
Tb  0.000  0.000  0.000 x1
Tb  0.000  0.000  0.251 x2
Nd  0.000  0.500  0.125 x4
Nd  0.000  0.500  0.376 x4
Nd  0.500  0.500  0.000 x1
Nd  0.500  0.500  0.251 x2
Nd  0.500  0.500  0.500 x1
Er  0.000  0.000  0.500 x1